BaYLu2 after structural relaxation, computed with PBE-GGA.

Cell and atoms, written as POSCAR:
```
BaYLu2
1.0
0.0000 4.1270 4.1270
4.1270 0.0000 4.1270
4.1270 4.1270 0.0000
Ba Y Lu
1 1 2
Cartesian
0.0000 0.0000 0.0000
6.1905 6.1905 6.1905
2.0635 2.0635 2.0635
4.1270 4.1270 4.1270
```

Values from the calculation:
Total magnetic moment (Bohr magnetons per cell): 0.15
Crystal system: cubic
Electronic total energy (eV/atom): -4.04